# 1
VASP calculation (PBE) on La2PmMg after structural relaxation.

```
La2PmMg
1.0
0.000 4.061 4.061
4.061 0.000 4.061
4.061 4.061 0.000
La Pm Mg
2 1 1
direct
0.250 0.250 0.250
0.750 0.750 0.750
0.000 0.000 0.000
0.500 0.500 0.500
```

SG: Fm-3m (225)
ΔE to the lowest computed polymorph, meV per atom: 71.1

# 2
VASP calculation (PBE) on La2PmMg3 after structural relaxation.

```
La2PmMg3
1.0
3.928 0.000 0.000
0.000 3.928 0.000
0.000 0.000 11.823
La Pm Mg
2 1 3
direct
0.000 0.000 0.170
0.000 0.000 0.830
0.000 0.000 0.500
0.500 0.500 0.000
0.500 0.500 0.341
0.500 0.500 0.659
```

SG: P4/mmm (123)

# 3
VASP calculation (PBE) on LaPm7Mg2 after structural relaxation.

```
LaPm7Mg2
1.0
8.875 0.000 0.000
0.000 3.432 0.000
-4.154 0.000 10.927
La Pm Mg
1 7 2
direct
0.000 0.000 0.000
0.000 0.500 0.500
0.193 0.500 0.805
0.221 0.500 0.312
0.399 0.000 0.616
0.601 0.000 0.384
0.779 0.500 0.688
0.807 0.500 0.195
0.401 0.500 0.102
0.599 0.500 0.898
```

SG: P2/m (10)
ΔE to the lowest computed polymorph, meV per atom: 0.0

# 4
VASP calculation (PBE) on La6Pm2Mg after structural relaxation.

```
La6Pm2Mg
1.0
10.781 -4.798 0.000
10.781 4.798 0.000
-1.852 0.000 6.047
La Pm Mg
12 4 2
direct
0.002 0.152 0.427
0.083 0.581 0.082
0.152 0.002 0.927
0.346 0.499 0.770
0.419 0.917 0.418
0.499 0.346 0.270
0.501 0.654 0.730
0.581 0.083 0.582
0.654 0.501 0.230
0.848 0.998 0.073
0.917 0.419 0.918
0.998 0.848 0.573
0.171 0.327 0.435
0.327 0.171 0.935
0.673 0.829 0.065
0.829 0.673 0.565
0.251 0.749 0.250
0.749 0.251 0.750
```

SG: C2/c (15)
ΔE to the lowest computed polymorph, meV per atom: 38.9

# 5
VASP calculation (PBE) on La5Pm6Mg after structural relaxation.

```
La5Pm6Mg
1.0
3.161 -5.480 0.000
3.161 5.480 0.000
-2.135 0.000 11.940
La Pm Mg
5 6 1
direct
0.000 0.000 0.000
0.167 0.833 0.500
0.332 0.668 0.000
0.668 0.332 0.000
0.833 0.167 0.500
0.089 0.418 0.252
0.252 0.252 0.749
0.418 0.089 0.252
0.582 0.911 0.748
0.748 0.748 0.251
0.911 0.582 0.748
0.500 0.500 0.500
```

SG: C2/m (12)

# 6
VASP calculation (PBE) on La3Pm5Mg12 after structural relaxation.

```
La3Pm5Mg12
1.0
-9.167 9.167 9.167
9.167 -9.167 9.167
9.167 9.167 -9.167
La Pm Mg
12 20 48
direct
0.125 0.250 0.375
0.125 0.375 0.750
0.250 0.375 0.125
0.250 0.875 0.625
0.375 0.125 0.250
0.375 0.750 0.125
0.625 0.250 0.875
0.625 0.875 0.750
0.750 0.125 0.375
0.750 0.625 0.875
0.875 0.625 0.250
0.875 0.750 0.625
0.000 0.000 0.000
0.000 0.000 0.500
0.000 0.500 0.000
0.000 0.500 0.500
0.125 0.750 0.875
0.125 0.875 0.250
0.250 0.125 0.875
0.250 0.625 0.375
0.375 0.250 0.625
0.375 0.625 0.750
0.500 0.000 0.000
0.500 0.000 0.500
0.500 0.500 0.000
0.500 0.500 0.500
0.625 0.375 0.250
0.625 0.750 0.375
0.750 0.375 0.625
0.750 0.875 0.125
0.875 0.125 0.750
0.875 0.250 0.125
0.073 0.649 0.421
0.073 0.924 0.652
0.076 0.228 0.149
0.076 0.348 0.927
0.079 0.728 0.652
0.079 0.851 0.427
0.149 0.076 0.228
0.149 0.573 0.921
0.152 0.228 0.579
0.152 0.424 0.573
0.228 0.149 0.076
0.228 0.579 0.152
0.272 0.348 0.921
0.272 0.424 0.351
0.348 0.921 0.272
0.348 0.927 0.076
0.351 0.272 0.424
0.351 0.579 0.927
0.421 0.073 0.649
0.421 0.848 0.772
0.424 0.351 0.272
0.424 0.573 0.152
0.427 0.079 0.851
0.427 0.848 0.576
0.573 0.152 0.424
0.573 0.921 0.149
0.576 0.427 0.848
0.576 0.649 0.728
0.579 0.152 0.228
0.579 0.927 0.351
0.649 0.421 0.073
0.649 0.728 0.576
0.652 0.073 0.924
0.652 0.079 0.728
0.728 0.576 0.649
0.728 0.652 0.079
0.772 0.421 0.848
0.772 0.851 0.924
0.848 0.576 0.427
0.848 0.772 0.421
0.851 0.427 0.079
0.851 0.924 0.772
0.921 0.149 0.573
0.921 0.272 0.348
0.924 0.652 0.073
0.924 0.772 0.851
0.927 0.076 0.348
0.927 0.351 0.579
```

SG: Ia-3d (230)

Number 1: energy relative to the elements 0.027 eV per atom, DOS(E_F) 1.52 states/eV/atom, volume 33.48 A^3/atom. Number 2: energy relative to the elements -0.111 eV per atom, DOS(E_F) 1.20 states/eV/atom, volume 30.40 A^3/atom. Number 3: energy relative to the elements 0.138 eV per atom, DOS(E_F) 1.61 states/eV/atom, volume 33.28 A^3/atom. Number 4: energy relative to the elements 0.041 eV per atom, DOS(E_F) 1.43 states/eV/atom, volume 34.75 A^3/atom. Number 5: energy relative to the elements 0.014 eV per atom, DOS(E_F) 1.53 states/eV/atom, volume 34.47 A^3/atom. Number 6: energy relative to the elements 0.657 eV per atom, DOS(E_F) 1.29 states/eV/atom, volume 38.51 A^3/atom.